P) # SrHf3Ag

A geometry-optimized SrHf3Ag structure (GGA-PBE, Alexandria via LeMat-Bulk).

Unit cell a=5.2587 b=5.2587 c=5.2587 alpha=90.00 beta=90.00 gamma=90.00
With the nearest neighbours (Å) after each atom.
Space group Pm-3m (No. 221)
Unique sites:
Sr 0.0000 0.0000 0.0000  12 Hf 3.72
Hf 0.0000 0.5000 0.5000  2 Ag 2.63
Ag 0.5000 0.5000 0.5000  6 Hf 2.63

Calculated values
Crystal system = cubic
Total moment = 0.95 μB/cell

***

Q) # SrHf3Ag

A geometry-optimized SrHf3Ag structure (GGA-PBE, Alexandria via LeMat-Bulk).

Unit cell a=5.1478 b=5.1478 c=5.1478 alpha=90.00 beta=90.00 gamma=90.00
With the nearest neighbours (Å) after each atom.
Space group Pm-3m (No. 221)
Unique sites:
Sr 0.0000 0.0000 0.0000  6 Hf 2.57
Hf 0.0000 0.0000 0.5000  2 Sr 2.57
Ag 0.5000 0.5000 0.5000  12 Hf 3.64

Calculated values
Crystal system = cubic
Total moment = 0.00 μB/cell

***

Ordering by calculated energy gives the sequence P), Q), with the first entry being the most stable.

***

P) # Tb2HfAg

A geometry-optimized Tb2HfAg structure (GGA-PBE, Alexandria via LeMat-Bulk).

Unit cell a=3.2168 b=3.2168 c=34.5087 alpha=90.00 beta=90.00 gamma=120.00
With the nearest neighbours (Å) after each atom.
Space group R-3m (No. 166, hexagonal axes)
Unique sites:
Tb 0.0000 0.0000 0.0922  3 Ag 3.17, 1 Hf 3.18, 6 Tb 3.22
Hf 0.0000 0.0000 0.0000  2 Tb 3.18, 6 Hf 3.22
Ag 0.0000 0.0000 0.5000  6 Tb 3.17, 6 Ag 3.22

Calculated values
Crystal system = trigonal
Total moment = 0.00 μB/cell

***

Q) # Tb2HfAg

A geometry-optimized Tb2HfAg structure (GGA-PBE, Alexandria via LeMat-Bulk).

Unit cell a=3.4286 b=3.4286 c=8.6443 alpha=90.00 beta=90.00 gamma=90.00
With the nearest neighbours (Å) after each atom.
Space group P4/mmm (No. 123)
Unique sites:
Tb 0.0000 0.0000 0.2378  4 Ag 3.18, 4 Hf 3.32, 4 Tb 3.43
Hf 0.5000 0.5000 0.5000  8 Tb 3.32, 4 Hf 3.43
Ag 0.5000 0.5000 0.0000  8 Tb 3.18, 4 Ag 3.43

Calculated values
Crystal system = tetragonal
Total moment = 0.00 μB/cell

***

Ordering by calculated energy gives the sequence Q), P), with the first entry being the most stable.

***

P) # HfTcAg3

A geometry-optimized HfTcAg3 structure (GGA-PBE, Alexandria via LeMat-Bulk).

Unit cell a=4.9014 b=4.9014 c=4.9014 alpha=90.00 beta=90.00 gamma=90.00
With the nearest neighbours (Å) after each atom.
Space group Pm-3m (No. 221)
Unique sites:
Hf 0.0000 0.0000 0.0000  12 Ag 3.47
Tc 0.5000 0.5000 0.5000  6 Ag 2.45
Ag 0.0000 0.5000 0.5000  2 Tc 2.45

Calculated values
Crystal system = cubic
Total moment = 0.00 μB/cell

***

Q) # HfTcAg3

A geometry-optimized HfTcAg3 structure (GGA-PBE, Alexandria via LeMat-Bulk).

Unit cell a=5.1351 b=5.1351 c=5.1351 alpha=90.00 beta=90.00 gamma=90.00
With the nearest neighbours (Å) after each atom.
Space group Pm-3m (No. 221)
Unique sites:
Hf 0.0000 0.0000 0.0000  6 Ag 2.57
Tc 0.5000 0.5000 0.5000  12 Ag 3.63
Ag 0.0000 0.0000 0.5000  2 Hf 2.57

Calculated values
Crystal system = cubic
Total moment = 4.05 μB/cell

***

Ordering by calculated energy gives the sequence P), Q), with the first entry being the most stable.